Here is a relaxed Fe3SbP4O16 crystal from the Alexandria database. Energies are from PBE with a Hubbard U.

Values from the calculation:
The value obtained for the energy is -6.96 eV per atom.

CIF file:
```
data_Fe3SbP4O16
_chemical_formula_sum 'Fe3 Sb1 P4 O16'
_space_group_name_H-M_alt 'P 1 m 1'
_space_group_IT_number 6
_space_group_name_Hall 'P -2y'
_cell_length_a 4.952
_cell_length_b 6.056
_cell_length_c 10.117
_cell_angle_alpha 90.00
_cell_angle_beta 91.36
_cell_angle_gamma 90.00
loop_
_atom_site_label
_atom_site_type_symbol
_atom_site_fract_x
_atom_site_fract_y
_atom_site_fract_z
_atom_site_occupancy
Fe1 Fe 0.000 0.000 0.000 1
Fe2 Fe 0.100 0.500 0.448 1
Fe3 Fe 0.506 0.500 0.954 1
Sb1 Sb 0.606 0.000 0.509 1
P1 P 0.167 0.000 0.317 1
P2 P 0.442 0.000 0.830 1
P3 P 0.647 0.500 0.639 1
P4 P 0.962 0.500 0.126 1
O1 O 0.201 0.000 0.168 1
O2 O 0.265 0.500 0.099 1
O3 O 0.304 0.200 0.901 1
O4 O 0.320 0.198 0.389 1
O5 O 0.349 0.500 0.606 1
O6 O 0.362 0.000 0.681 1
O7 O 0.700 0.500 0.789 1
O8 O 0.749 0.000 0.849 1
O9 O 0.802 0.302 0.570 1
O10 O 0.814 0.300 0.052 1
O11 O 0.863 0.000 0.347 1
O12 O 0.907 0.500 0.272 1
```